Computed, not measured: an optimized crystal structure of Cs2Cu2Te4As at the PBE level of DFT.

abc: 4.4603 8.1088 9.1481
angles: 78.10 78.64 81.14
Last column: nearest neighbours and their distance in Å.
Space group P-1 (No. 2)
Inequivalent atoms, fractional coordinates:
Cs  0.0125  0.2152  0.1650  7 Te 3.77-4.12
Cu  0.0116  0.3423  0.5950  2 Te 2.60-2.63, 2 As 2.61-2.65, 1 Cu 2.78
Te  0.4170  0.5985  0.1780  1 Cu 2.60
Te  0.4844  0.8732  0.4026  1 Cu 2.63
As  0.5000  0.5000  0.5000  4 Cu 2.61-2.65

Output
For the electronic total energy, the calculation gives -3.34 eV/atom. For the total magnetization, the calculation gives 0.0 Bohr magnetons per cell. For the energy relative to the elements, uncorrected, the calculation gives -0.325 eV/atom. The value obtained for the volume is 315 Å³ per cell.